1.
DFT (SCAN) results for a crystal of Zr2CoNiCl relaxed with PBEsol.

Cell lengths 4.791, 4.791, 4.229 Å; angles 90.00, 90.00, 90.00 degrees
Fractional positions:
Zr 0.000 0.500 0.000
Zr 0.500 0.000 0.000
Co 0.000 0.000 0.500
Ni 0.000 0.000 0.000
Cl 0.500 0.500 0.500

## Properties
mass density = 5.74 g cm⁻³
V = 19.4 A^3/atom
uncorrected formation energy = 0.29 eV per atom



2.
DFT (SCAN) results for a crystal of CoCl3O relaxed with PBEsol.

Cell lengths 4.489, 4.489, 4.489 Å; angles 90.00, 90.00, 90.00 degrees
Fractional positions:
Co 0.000 0.000 0.000
Cl 0.000 0.000 0.500
Cl 0.000 0.500 0.000
Cl 0.500 0.000 0.000
O 0.500 0.500 0.500

## Properties
mass density = 3.33 g cm⁻³
V = 18.1 A^3/atom
uncorrected formation energy = 0.22 eV per atom



3.
DFT (SCAN) results for a crystal of CoRuCl2O relaxed with PBEsol.

Cell lengths 4.486, 4.486, 4.777 Å; angles 90.00, 90.00, 90.00 degrees
Fractional positions:
Co 0.000 0.000 0.000
Ru 0.000 0.000 0.500
Cl 0.000 0.500 0.500
Cl 0.500 0.000 0.500
O 0.500 0.500 0.000

## Properties
mass density = 4.27 g cm⁻³
V = 19.2 A^3/atom
uncorrected formation energy = 0.72 eV per atom



Q: V of number 1 (Zr2CoNiCl)?
A: 19.4 A^3/atom



Copy entry 2 word for word.
DFT (SCAN) results for a crystal of CoCl3O relaxed with PBEsol.

Cell lengths 4.489, 4.489, 4.489 Å; angles 90.00, 90.00, 90.00 degrees
Fractional positions:
Co 0.000 0.000 0.000
Cl 0.000 0.000 0.500
Cl 0.000 0.500 0.000
Cl 0.500 0.000 0.000
O 0.500 0.500 0.500

## Properties
mass density = 3.33 g cm⁻³
V = 18.1 A^3/atom
uncorrected formation energy = 0.22 eV per atom



Q: What is the formula in the first record?
A: Zr2CoNiCl